# 1
Below is Dy2TmScO6 after structural relaxation, with properties calculated at the PBE-GGA level.

Cell and atoms, written as CIF:
```
data_Dy2TmScO6
_chemical_formula_sum 'Dy6 Tm3 Sc3 O18'
_space_group_name_H-M_alt 'R 3'
_space_group_IT_number 146
_space_group_name_Hall 'R 3'
_cell_length_a 5.6790
_cell_length_b 5.6790
_cell_length_c 14.8190
_cell_angle_alpha 90.00
_cell_angle_beta 90.00
_cell_angle_gamma 120.00
loop_
_atom_site_label
_atom_site_type_symbol
_atom_site_fract_x
_atom_site_fract_y
_atom_site_fract_z
Dy1 Dy 0.0000 0.0000 0.0000
Dy2 Dy 0.0000 0.0000 0.4986
Tm1 Tm 0.0000 0.0000 0.2810
Sc1 Sc 0.0000 0.0000 0.7841
O1 O 0.0155 0.7202 0.8848
O2 O 0.0203 0.3821 0.0538
```

***

# 2
Below is Mg2Zr3N after structural relaxation, with properties calculated at the PBE-GGA level.

Cell and atoms, written as CIF:
```
data_Mg2Zr3N
_chemical_formula_sum 'Mg8 Zr12 N4'
_space_group_name_H-M_alt 'P 41 3 2'
_space_group_IT_number 213
_space_group_name_Hall 'P 4bd 2ab 3'
_cell_length_a 7.621
_cell_length_b 7.621
_cell_length_c 7.621
_cell_angle_alpha 90.00
_cell_angle_beta 90.00
_cell_angle_gamma 90.00
loop_
_atom_site_label
_atom_site_type_symbol
_atom_site_fract_x
_atom_site_fract_y
_atom_site_fract_z
Mg1 Mg 0.073 0.073 0.073
Zr1 Zr 0.037 0.875 0.713
N1 N 0.125 0.625 0.875
```

***

# 3
Below is Tb6Te3CN2 after structural relaxation, with properties calculated at the PBE-GGA level.

Cell and atoms, written as CIF:
```
data_Tb6Te3CN2
_chemical_formula_sum 'Tb12 Te6 C2 N4'
_space_group_name_H-M_alt 'C 1 2/m 1'
_space_group_IT_number 12
_cell_length_a 6.582
_cell_length_b 11.400
_cell_length_c 7.316
_cell_angle_alpha 90.00
_cell_angle_beta 107.45
_cell_angle_gamma 90.00
loop_
_space_group_symop_operation_xyz
'x,y,z'
'-x,-y,-z'
'-x,y,-z'
'x,-y,z'
'x+1/2,y+1/2,z'
'-x+1/2,-y+1/2,-z'
'-x+1/2,y+1/2,-z'
'x+1/2,-y+1/2,z'
loop_
_atom_site_label
_atom_site_type_symbol
_atom_site_fract_x
_atom_site_fract_y
_atom_site_fract_z
Tb1 Tb 0.228 0.000 0.186
Tb2 Tb 0.229 0.333 0.187
Te1 Te 0.000 0.000 0.500
Te2 Te 0.000 0.334 0.500
C1 C 0.000 0.500 0.000
N1 N 0.000 0.166 0.000
```

***

# 4
Below is InAu2Se after structural relaxation, with properties calculated at the PBE-GGA level.

Cell and atoms, written as CIF:
```
data_InAu2Se
_chemical_formula_sum 'In2 Au4 Se2'
_space_group_name_H-M_alt 'C 1 2/m 1'
_space_group_IT_number 12
_cell_length_a 6.076
_cell_length_b 9.665
_cell_length_c 2.948
_cell_angle_alpha 90.00
_cell_angle_beta 90.54
_cell_angle_gamma 90.00
loop_
_space_group_symop_operation_xyz
'x,y,z'
'-x,-y,-z'
'-x,y,-z'
'x,-y,z'
'x+1/2,y+1/2,z'
'-x+1/2,-y+1/2,-z'
'-x+1/2,y+1/2,-z'
'x+1/2,-y+1/2,z'
loop_
_atom_site_label
_atom_site_type_symbol
_atom_site_fract_x
_atom_site_fract_y
_atom_site_fract_z
In1 In 0.000 0.000 0.000
Au1 Au 0.250 0.250 0.000
Se1 Se 0.000 0.500 0.000
```

***

# 5
Below is YGaTe2Os after structural relaxation, with properties calculated at the PBE-GGA level.

Cell and atoms, written as CIF:
```
data_YGaTe2Os
_chemical_formula_sum 'Y1 Ga1 Te2 Os1'
_space_group_name_H-M_alt 'P 4/m m m'
_space_group_IT_number 123
_space_group_name_Hall '-P 4 2'
_cell_length_a 5.302
_cell_length_b 5.302
_cell_length_c 4.612
_cell_angle_alpha 90.00
_cell_angle_beta 90.00
_cell_angle_gamma 90.00
loop_
_atom_site_label
_atom_site_type_symbol
_atom_site_fract_x
_atom_site_fract_y
_atom_site_fract_z
Y1 Y 0.000 0.000 0.000
Ga1 Ga 0.500 0.500 0.500
Te1 Te 0.000 0.500 0.500
Os1 Os 0.500 0.500 0.000
```

***

# 6
Below is NaMgSbIr2 after structural relaxation, with properties calculated at the PBE-GGA level.

Cell and atoms, written as CIF:
```
data_NaMgSbIr2
_chemical_formula_sum 'Na1 Mg1 Sb1 Ir2'
_space_group_name_H-M_alt 'P 4/m m m'
_space_group_IT_number 123
_space_group_name_Hall '-P 4 2'
_cell_length_a 4.730
_cell_length_b 4.730
_cell_length_c 4.372
_cell_angle_alpha 90.00
_cell_angle_beta 90.00
_cell_angle_gamma 90.00
loop_
_atom_site_label
_atom_site_type_symbol
_atom_site_fract_x
_atom_site_fract_y
_atom_site_fract_z
Na1 Na 0.000 0.000 0.000
Mg1 Mg 0.000 0.000 0.500
Sb1 Sb 0.500 0.500 0.500
Ir1 Ir 0.000 0.500 0.000
```

***

| no. | total magnetic moment (μB/atom) | raw formation energy (eV per atom) | theoretical density (g/cm³) |
| --- | --- | --- | --- |
| 1 | 0.0000 | -3.5502 | 7.641 |
| 2 | 0.0000 | -0.4672 | 5.047 |
| 3 | 0.0000 | -1.2206 | 8.728 |
| 4 | 0.0000 | 0.0805 | 11.277 |
| 5 | 0.0000 | 0.4374 | 7.737 |
| 6 | 0.0000 | 1.3363 | 9.395 |